Below is crystalline RbAgBr2 at its relaxed geometry, with properties calculated at the PBE-GGA level.

The structure in POSCAR format:
```
RbAgBr2
1.0
0.0000 3.8940 3.8940
3.8940 0.0000 3.8940
3.8940 3.8940 0.0000
Rb Ag Br
1 1 2
direct
0.0000 0.0000 0.0000
0.5000 0.5000 0.5000
0.2500 0.2500 0.2500
0.7500 0.7500 0.7500
```

formation energy without anion corrections	-0.81	eV per atom
total moment	0.000	μB/f.u.